VASP calculation (PBE) on crystalline LaTlCl2 at its relaxed geometry.

The value obtained for the uncorrected formation energy is -1.346 eV/atom. The raw total energy comes out at -4.092 eV per atom. The excess energy over the best structure of this formula in the dataset comes out at 0.0803 eV/atom.

It has space group Amm2 (No. 38), with a = 5.489 Å, b = 4.279 Å, c = 10.192 Å, α = 90.00°, β = 90.00° and γ = 90.00°. The asymmetric unit holds La at (0.000, 0.000, 0.000), Tl at (0.500, 0.000, 0.596), Cl at (0.000, 0.000, 0.293) and Cl at (0.500, 0.000, 0.894).

VASP calculation (PBE) on crystalline CsBiHF6 at its relaxed geometry.

The raw total energy comes out at -4.295 eV per atom.

It has space group P1 (No. 1), with a = 4.510 Å, b = 5.234 Å, c = 7.506 Å, α = 104.58°, β = 95.88° and γ = 113.16°. The asymmetric unit holds Cs at (0.000, 0.000, 0.000), Bi at (0.435, 0.002, 0.529), H at (0.745, 0.485, 0.361), F at (0.314, 0.729, 0.702), F at (0.486, 0.383, 0.424), F at (0.517, 0.882, 0.246), F at (0.650, 0.331, 0.799), F at (0.957, 0.567, 0.307) and F at (0.958, 0.035, 0.573).

VASP calculation (PBE) on crystalline MnZnCu2 at its relaxed geometry.

As for the formation energy: 0.080 eV per atom. The raw total energy comes out at -4.579 eV per atom.

It has space group Cmmm (No. 65), with a = 5.570 Å, b = 6.733 Å, c = 2.804 Å, α = 90.00°, β = 90.00° and γ = 90.00°. The asymmetric unit holds Mn at (0.000, 0.000, 0.000), Zn at (0.000, 0.500, 0.000) and Cu at (0.250, 0.250, 0.500).

VASP calculation (PBE) on crystalline LaCdAsSe2 at its relaxed geometry.

The value obtained for the uncorrected formation energy is -0.026 eV/atom. The raw total energy comes out at -3.518 eV per atom. The excess energy over the best structure of this formula in the dataset comes out at 0.3499 eV/atom.

It has space group P4/mmm (No. 123), with a = 5.718 Å, b = 5.718 Å, c = 5.945 Å, α = 90.00°, β = 90.00° and γ = 90.00°. The asymmetric unit holds La at (0.000, 0.000, 0.000), Cd at (0.500, 0.500, 0.500), As at (0.000, 0.000, 0.500) and Se at (0.000, 0.500, 0.000).